1.
Below is a relaxed SmCuO3 crystal, with properties calculated at the PBE level.

Cell: 3.899 12.503 5.390 Å, 90.00 90.00 90.00°
Space group Pbcm (No. 57)
Unique sites:
Sm  0.243  0.083  0.250 x4
Cu  0.411  0.674  0.750 x4
O  0.245  0.582  0.513 x8
O  0.357  0.250  0.000 x4

Properties
Spin magnetization = 0.000 μB/atom
ΔE_f (raw) = -2023 meV/atom

2.
Below is a relaxed MnNiCl2 crystal, with properties calculated at the PBE level.

Cell: 3.305 6.255 7.112 Å, 90.00 90.00 90.00°
Space group Cmmm (No. 65)
Unique sites:
Mn  0.000  0.000  0.000 x2
Ni  0.000  0.000  0.500 x2
Cl  0.000  0.500  0.264 x4

Properties
Energy above the lowest structure with this stoichiometry = 41.2 kJ per mole of atoms
Spin magnetization = 1.231 μB/atom
D(E_F) = 6.6 states/eV per cell
ΔE_f (raw) = 37 meV/atom

3.
Below is a relaxed BaNa2Pb2 crystal, with properties calculated at the PBE level.

Cell: 9.514 9.514 3.572 Å, 90.00 90.00 90.00°
Space group P4/mbm (No. 127)
Unique sites:
Ba  0.000  0.000  0.000 x2
Na  0.116  0.384  0.000 x4
Pb  0.181  0.681  0.500 x4

Properties
Energy above the lowest structure with this stoichiometry = 4.5 kJ per mole of atoms
Spin magnetization = 0.000 μB/atom
DFT formation energy = -254 meV/atom
D(E_F) = 5.2 states/eV per cell

4.
Below is a relaxed Sm4SnOs crystal, with properties calculated at the PBE level.

Cell: 8.918 13.755 6.224 Å, 90.00 112.03 90.00°
Space group C2/c (No. 15)
Unique sites:
Sm  0.110  0.170  0.061 x8
Sm  0.218  0.430  0.356 x8
Sn  0.000  0.372  0.750 x4
Os  0.000  0.001  0.750 x4

Properties
Spin magnetization = 0.000 μB/atom
DFT formation energy = -389 meV/atom
D(E_F) = 23.2 states/eV per cell

5.
Below is a relaxed YTa3N6 crystal, with properties calculated at the PBE level.

Cell: 8.663 3.144 8.948 Å, 90.00 107.76 90.00°
Space group P2_1/m (No. 11)
Unique sites:
Y  0.066  0.250  0.197 x2
Ta  0.162  0.250  0.588 x2
Ta  0.317  0.750  0.990 x2
Ta  0.467  0.250  0.326 x2
N  0.080  0.750  0.414 x2
N  0.144  0.250  0.960 x2
N  0.217  0.750  0.738 x2
N  0.297  0.750  0.238 x2
N  0.391  0.250  0.549 x2
N  0.479  0.250  0.104 x2

Properties
Spin magnetization = 0.000 μB/atom
D(E_F) = 0.0 states/eV per cell
ΔE_f (raw) = -1140 meV/atom

6.
Below is a relaxed As4S5 crystal, with properties calculated at the PBE level.

Cell: 8.178 8.414 8.251 Å, 90.00 103.49 90.00°
Space group P2_1/m (No. 11)
Unique sites:
As  0.029  0.250  0.450 x2
As  0.240  0.518  0.891 x4
As  0.280  0.750  0.525 x2
S  0.025  0.041  0.273 x4
S  0.288  0.750  0.039 x2
S  0.380  0.537  0.685 x4

Properties
Spin magnetization = 0.000 μB/atom
D(E_F) = 0.0 states/eV per cell
ΔE_f (raw) = -132 meV/atom

7.
Below is a relaxed BaSrTeSe crystal, with properties calculated at the PBE level.

Cell: 8.120 8.120 8.120 Å, 90.00 90.00 90.00°
Space group F-43m (No. 216)
Unique sites:
Ba  0.000  0.000  0.000 x4
Sr  0.000  0.000  0.500 x4
Te  0.250  0.250  0.250 x4
Se  0.250  0.250  0.750 x4

Properties
Energy above the lowest structure with this stoichiometry = 23.0 kJ per mole of atoms
Spin magnetization = 0.000 μB/atom
ΔE_f (raw) = -1655 meV/atom

8.
Below is a relaxed Li16Hg7Pd6 crystal, with properties calculated at the PBE level.

Cell: 12.517 12.517 12.517 Å, 90.00 90.00 90.00°
Space group Fm-3m (No. 225)
Unique sites:
Li  0.113  0.113  0.113 x32
Li  0.127  0.127  0.373 x32
Hg  0.000  0.000  0.500 x4
Hg  0.000  0.250  0.250 x24
Pd  0.000  0.000  0.258 x24

Properties
Spin magnetization = 0.000 μB/atom
DFT formation energy = -362 meV/atom
D(E_F) = 43.8 states/eV per cell

9.
Below is a relaxed Sr2Mn2Os crystal, with properties calculated at the PBE level.

Cell: 6.334 6.334 5.194 Å, 90.00 90.00 90.00°
Space group P4/mbm (No. 127)
Unique sites:
Sr  0.187  0.313  0.000 x4
Mn  0.124  0.624  0.500 x4
Os  0.000  0.000  0.500 x2

Properties
Energy above the lowest structure with this stoichiometry = 0.0 kJ per mole of atoms
Spin magnetization = 0.566 μB/atom
DFT formation energy = 646 meV/atom
D(E_F) = 8.3 states/eV per cell

10.
Below is a relaxed Li2Zr2AlS6 crystal, with properties calculated at the PBE level.

Cell: 6.307 10.923 6.491 Å, 90.00 108.60 90.00°
Space group C2/m (No. 12)
Unique sites:
Li  0.000  0.169  0.000 x4
Zr  0.000  0.333  0.500 x4
Al  0.000  0.000  0.500 x2
S  0.233  0.000  0.270 x4
S  0.236  0.160  0.736 x8

Properties
Spin magnetization = 0.000 μB/atom
D(E_F) = 5.8 states/eV per cell
ΔE_f (raw) = -1390 meV/atom

11.
Below is a relaxed SrLiP5 crystal, with properties calculated at the PBE level.

Cell: 4.776 11.075 12.559 Å, 90.00 94.03 90.00°
Space group C2/c (No. 15)
Unique sites:
Sr  0.000  0.074  0.250 x4
Li  0.000  0.500  0.000 x4
P  0.000  0.270  0.750 x4
P  0.106  0.174  0.483 x8
P  0.148  0.156  0.884 x8

Properties
Spin magnetization = 0.000 μB/atom
DFT formation energy = -327 meV/atom
D(E_F) = 1.0 states/eV per cell

12.
Below is a relaxed InTcAsBr2 crystal, with properties calculated at the PBE level.

Cell: 5.379 5.379 4.746 Å, 90.00 90.00 90.00°
Space group P4/mmm (No. 123)
Unique sites:
In  0.000  0.000  0.000 x1
Tc  0.500  0.500  0.500 x1
As  0.500  0.500  0.000 x1
Br  0.000  0.500  0.500 x2

Properties
Energy above the lowest structure with this stoichiometry = 0.0 kJ per mole of atoms
Spin magnetization = 0.210 μB/atom
D(E_F) = 3.8 states/eV per cell
ΔE_f (raw) = 97 meV/atom

So what do the calculations give for calculated volume? Going down the list: 13.1; 18.4; 32.3; 29.5; 11.6; 30.7; 33.5; 16.9; 20.8; 19.3; 23.7; 27.5 A^3/atom.